1.
Crystalline Pm3Y2Hg2 at its relaxed geometry. Source: the Alexandria database, functional PBE-GGA.

Density of states at the Fermi level: 8.72 states/eV/f.u.
ΔH_f (0 K): -0.78 eV/f.u.
Energy: -4.080 eV per atom

a = 4.928 Å, b = 23.447 Å, c = 3.543 Å
α = 90.00°, β = 90.00°, γ = 90.00°
Space group Cmmm (No. 65)
Inequivalent atoms, fractional coordinates:
Pm 0.000 0.000 0.000
Pm 0.000 0.141 0.000
Y 0.000 0.291 0.500
Hg 0.000 0.429 0.500

***

2.
Crystalline Pm4YHg at its relaxed geometry. Source: the Alexandria database, functional PBE-GGA.

Density of states at the Fermi level: 8.03 states/eV/f.u.
ΔH_f (0 K): -0.32 eV/f.u.
Energy: -4.348 eV per atom

a = 8.942 Å, b = 14.134 Å, c = 6.484 Å
α = 90.00°, β = 108.96°, γ = 90.00°
Space group C2/c (No. 15)
Inequivalent atoms, fractional coordinates:
Pm 0.099 0.189 0.047
Pm 0.218 0.381 0.377
Y 0.000 0.410 0.750
Hg 0.000 0.001 0.750

***

3.
Crystalline PmY2Hg at its relaxed geometry. Source: the Alexandria database, functional PBE-GGA.

Density of states at the Fermi level: 4.69 states/eV/f.u.
ΔH_f (0 K): -0.76 eV/f.u.
Energy: -4.686 eV per atom

a = 5.156 Å, b = 12.394 Å, c = 7.692 Å
α = 90.00°, β = 90.00°, γ = 90.00°
Space group Cmcm (No. 63)
Inequivalent atoms, fractional coordinates:
Pm 0.000 0.053 0.250
Y 0.000 0.360 0.030
Hg 0.000 0.198 0.750